Entry w
# PBE-GGA MgCdRu, relaxed
# spin magnetization = 0.00 μB/cell
data_MgCdRu
_cell_length_a 4.6081
_cell_length_b 4.6081
_cell_length_c 2.8023
_cell_angle_alpha 90.00
_cell_angle_beta 90.00
_cell_angle_gamma 120.00
_symmetry_space_group_name_H-M 'P 3 m 1'
_symmetry_Int_Tables_number 156
loop_
_symmetry_equiv_pos_as_xyz
'x,y,z'
'-y,x-y,z'
'-x+y,-x,z'
'-y,-x,z'
'-x+y,y,z'
'x,x-y,z'
loop_
_atom_site_label
_atom_site_type_symbol
_atom_site_fract_x
_atom_site_fract_y
_atom_site_fract_z
Mg1 Mg 0.0000 0.0000 0.0000
Cd1 Cd 0.6667 0.3333 0.6945
Ru1 Ru 0.3333 0.6667 0.3236

Entry x
# PBE-GGA MgCdRu, relaxed
# spin magnetization = 0.43 μB/cell
data_MgCdRu
_cell_length_a 3.322
_cell_length_b 3.322
_cell_length_c 9.536
_cell_angle_alpha 90.00
_cell_angle_beta 90.00
_cell_angle_gamma 90.00
_symmetry_space_group_name_H-M 'P 4/n m m'
_symmetry_Int_Tables_number 129
loop_
_symmetry_equiv_pos_as_xyz
'x,y,z'
'-x,-y,-z'
'-y+1/2,x,z'
'y+1/2,-x,-z'
'-x+1/2,-y+1/2,z'
'x+1/2,y+1/2,-z'
'y,-x+1/2,z'
'-y,x+1/2,-z'
'x+1/2,-y,-z'
'-x+1/2,y,z'
'-y,-x,-z'
'y,x,z'
'-x,y+1/2,-z'
'x,-y+1/2,z'
'y+1/2,x+1/2,-z'
'-y+1/2,-x+1/2,z'
loop_
_atom_site_label
_atom_site_type_symbol
_atom_site_fract_x
_atom_site_fract_y
_atom_site_fract_z
Mg1 Mg 0.250 0.250 0.093
Cd1 Cd 0.250 0.250 0.400
Ru1 Ru 0.250 0.250 0.764

Q: Which of them is the least stable? A: entry x.

Entry w
# PBE-GGA MgCdRu, relaxed
# spin magnetization = 1.39 μB/cell
data_MgCdRu
_cell_length_a 2.944
_cell_length_b 4.030
_cell_length_c 8.795
_cell_angle_alpha 90.00
_cell_angle_beta 90.00
_cell_angle_gamma 90.00
_symmetry_space_group_name_H-M 'I m m 2'
_symmetry_Int_Tables_number 44
loop_
_symmetry_equiv_pos_as_xyz
'x,y,z'
'-x,-y,z'
'-x,y,z'
'x,-y,z'
'x+1/2,y+1/2,z+1/2'
'-x+1/2,-y+1/2,z+1/2'
'-x+1/2,y+1/2,z+1/2'
'x+1/2,-y+1/2,z+1/2'
loop_
_atom_site_label
_atom_site_type_symbol
_atom_site_fract_x
_atom_site_fract_y
_atom_site_fract_z
Mg1 Mg 0.000 0.000 0.000
Cd1 Cd 0.000 0.000 0.320
Ru1 Ru 0.000 0.000 0.653

Entry x
# PBE-GGA MgCdRu, relaxed
# spin magnetization = 1.09 μB/cell
data_MgCdRu
_cell_length_a 6.310
_cell_length_b 6.310
_cell_length_c 6.310
_cell_angle_alpha 90.00
_cell_angle_beta 90.00
_cell_angle_gamma 90.00
_symmetry_space_group_name_H-M 'F -4 3 m'
_symmetry_Int_Tables_number 216
_symmetry_space_group_name_Hall 'F -4 2 3'
loop_
_atom_site_label
_atom_site_type_symbol
_atom_site_fract_x
_atom_site_fract_y
_atom_site_fract_z
Mg1 Mg 0.000 0.000 0.000
Cd1 Cd 0.000 0.000 0.500
Ru1 Ru 0.250 0.250 0.750

Q: Which of them is the least stable? A: entry x.

Entry w
# PBE-GGA Mg3CdS, relaxed
# spin magnetization = 0.00 μB/cell
data_Mg3CdS
_cell_length_a 4.879
_cell_length_b 4.879
_cell_length_c 4.879
_cell_angle_alpha 90.00
_cell_angle_beta 90.00
_cell_angle_gamma 90.00
_symmetry_space_group_name_H-M 'P m -3 m'
_symmetry_Int_Tables_number 221
_symmetry_space_group_name_Hall '-P 4 2 3'
loop_
_atom_site_label
_atom_site_type_symbol
_atom_site_fract_x
_atom_site_fract_y
_atom_site_fract_z
Mg1 Mg 0.000 0.000 0.500
Cd1 Cd 0.500 0.500 0.500
S1 S 0.000 0.000 0.000

Entry x
# PBE-GGA Mg3CdS, relaxed
# spin magnetization = 0.00 μB/cell
data_Mg3CdS
_cell_length_a 5.191
_cell_length_b 5.191
_cell_length_c 5.191
_cell_angle_alpha 90.00
_cell_angle_beta 90.00
_cell_angle_gamma 90.00
_symmetry_space_group_name_H-M 'P m -3 m'
_symmetry_Int_Tables_number 221
_symmetry_space_group_name_Hall '-P 4 2 3'
loop_
_atom_site_label
_atom_site_type_symbol
_atom_site_fract_x
_atom_site_fract_y
_atom_site_fract_z
Mg1 Mg 0.000 0.000 0.500
Cd1 Cd 0.000 0.000 0.000
S1 S 0.500 0.500 0.500

Q: Which of them is the least stable? A: entry x.

Entry w
# PBE-GGA MgCdSb2, relaxed
# spin magnetization = 0.00 μB/cell
data_MgCdSb2
_cell_length_a 7.422
_cell_length_b 7.422
_cell_length_c 7.422
_cell_angle_alpha 90.00
_cell_angle_beta 90.00
_cell_angle_gamma 90.00
_symmetry_space_group_name_H-M 'F -4 3 m'
_symmetry_Int_Tables_number 216
_symmetry_space_group_name_Hall 'F -4 2 3'
loop_
_atom_site_label
_atom_site_type_symbol
_atom_site_fract_x
_atom_site_fract_y
_atom_site_fract_z
Mg1 Mg 0.000 0.000 0.000
Cd1 Cd 0.250 0.250 0.750
Sb1 Sb 0.000 0.000 0.500
Sb2 Sb 0.250 0.250 0.250

Entry x
# PBE-GGA MgCdSb2, relaxed
# spin magnetization = 0.00 μB/cell
data_MgCdSb2
_cell_length_a 6.565
_cell_length_b 8.535
_cell_length_c 3.746
_cell_angle_alpha 90.00
_cell_angle_beta 102.80
_cell_angle_gamma 90.00
_symmetry_space_group_name_H-M 'C 1 2/m 1'
_symmetry_Int_Tables_number 12
loop_
_symmetry_equiv_pos_as_xyz
'x,y,z'
'-x,-y,-z'
'-x,y,-z'
'x,-y,z'
'x+1/2,y+1/2,z'
'-x+1/2,-y+1/2,-z'
'-x+1/2,y+1/2,-z'
'x+1/2,-y+1/2,z'
loop_
_atom_site_label
_atom_site_type_symbol
_atom_site_fract_x
_atom_site_fract_y
_atom_site_fract_z
Mg1 Mg 0.000 0.000 0.000
Cd1 Cd 0.000 0.500 0.000
Sb1 Sb 0.250 0.250 0.500

Q: Which of them is the least stable? A: entry w.

Entry w
# PBE-GGA MgCdSb2, relaxed
# spin magnetization = 0.00 μB/cell
data_MgCdSb2
_cell_length_a 4.476
_cell_length_b 5.105
_cell_length_c 8.916
_cell_angle_alpha 90.00
_cell_angle_beta 90.00
_cell_angle_gamma 90.00
_symmetry_space_group_name_H-M 'C m m m'
_symmetry_Int_Tables_number 65
_symmetry_space_group_name_Hall '-C 2 2'
loop_
_atom_site_label
_atom_site_type_symbol
_atom_site_fract_x
_atom_site_fract_y
_atom_site_fract_z
Mg1 Mg 0.000 0.000 0.000
Cd1 Cd 0.000 0.000 0.500
Sb1 Sb 0.000 0.500 0.233

Entry x
# PBE-GGA MgCdSb2, relaxed
# spin magnetization = 0.00 μB/cell
data_MgCdSb2
_cell_length_a 3.255
_cell_length_b 3.967
_cell_length_c 8.245
_cell_angle_alpha 90.00
_cell_angle_beta 100.93
_cell_angle_gamma 90.00
_symmetry_space_group_name_H-M 'P 1 2/m 1'
_symmetry_Int_Tables_number 10
loop_
_symmetry_equiv_pos_as_xyz
'x,y,z'
'-x,-y,-z'
'-x,y,-z'
'x,-y,z'
loop_
_atom_site_label
_atom_site_type_symbol
_atom_site_fract_x
_atom_site_fract_y
_atom_site_fract_z
Mg1 Mg 0.000 0.000 0.000
Cd1 Cd 0.500 0.000 0.500
Sb1 Sb 0.422 0.500 0.776

Entry y
# PBE-GGA MgCdSb2, relaxed
# spin magnetization = 0.00 μB/cell
data_MgCdSb2
_cell_length_a 6.963
_cell_length_b 6.963
_cell_length_c 11.282
_cell_angle_alpha 90.00
_cell_angle_beta 90.00
_cell_angle_gamma 90.00
_symmetry_space_group_name_H-M 'I -4 2 d'
_symmetry_Int_Tables_number 122
_symmetry_space_group_name_Hall 'I -4 2bw'
loop_
_atom_site_label
_atom_site_type_symbol
_atom_site_fract_x
_atom_site_fract_y
_atom_site_fract_z
Mg1 Mg 0.000 0.000 0.000
Cd1 Cd 0.000 0.000 0.500
Sb1 Sb 0.248 0.250 0.625

Entry z
# PBE-GGA MgCdSb2, relaxed
# spin magnetization = 0.00 μB/cell
data_MgCdSb2
_cell_length_a 4.348
_cell_length_b 4.355
_cell_length_c 5.385
_cell_angle_alpha 90.00
_cell_angle_beta 90.00
_cell_angle_gamma 90.00
_symmetry_space_group_name_H-M 'P m m m'
_symmetry_Int_Tables_number 47
loop_
_symmetry_equiv_pos_as_xyz
'x,y,z'
'-x,-y,-z'
'-x,-y,z'
'x,y,-z'
'x,-y,-z'
'-x,y,z'
'-x,y,-z'
'x,-y,z'
loop_
_atom_site_label
_atom_site_type_symbol
_atom_site_fract_x
_atom_site_fract_y
_atom_site_fract_z
Mg1 Mg 0.000 0.000 0.000
Cd1 Cd 0.000 0.500 0.500
Sb1 Sb 0.500 0.000 0.500
Sb2 Sb 0.500 0.500 0.000

Q: Which of them is the least stable? A: entry y.

Entry w
# PBE-GGA MgCdSb2, relaxed
# spin magnetization = 0.00 μB/cell
data_MgCdSb2
_cell_length_a 3.4120
_cell_length_b 3.4120
_cell_length_c 30.6644
_cell_angle_alpha 90.00
_cell_angle_beta 90.00
_cell_angle_gamma 120.00
_symmetry_space_group_name_H-M 'R -3 m'
_symmetry_Int_Tables_number 166
_symmetry_space_group_name_Hall '-R 3 2"'
loop_
_atom_site_label
_atom_site_type_symbol
_atom_site_fract_x
_atom_site_fract_y
_atom_site_fract_z
Mg1 Mg 0.0000 0.0000 0.0000
Cd1 Cd 0.0000 0.0000 0.5000
Sb1 Sb 0.0000 0.0000 0.2569

Entry x
# PBE-GGA MgCdSb2, relaxed
# spin magnetization = 0.00 μB/cell
data_MgCdSb2
_cell_length_a 7.391
_cell_length_b 7.391
_cell_length_c 7.391
_cell_angle_alpha 90.00
_cell_angle_beta 90.00
_cell_angle_gamma 90.00
_symmetry_space_group_name_H-M 'F m -3 m'
_symmetry_Int_Tables_number 225
_symmetry_space_group_name_Hall '-F 4 2 3'
loop_
_atom_site_label
_atom_site_type_symbol
_atom_site_fract_x
_atom_site_fract_y
_atom_site_fract_z
Mg1 Mg 0.000 0.000 0.000
Cd1 Cd 0.000 0.000 0.500
Sb1 Sb 0.250 0.250 0.250

Entry y
# PBE-GGA MgCdSb2, relaxed
# spin magnetization = 0.00 μB/cell
data_MgCdSb2
_cell_length_a 4.229
_cell_length_b 4.229
_cell_length_c 6.001
_cell_angle_alpha 90.00
_cell_angle_beta 90.00
_cell_angle_gamma 90.00
_symmetry_space_group_name_H-M 'P 4 m m'
_symmetry_Int_Tables_number 99
loop_
_symmetry_equiv_pos_as_xyz
'x,y,z'
'-y,x,z'
'-x,-y,z'
'y,-x,z'
'-x,y,z'
'y,x,z'
'x,-y,z'
'-y,-x,z'
loop_
_atom_site_label
_atom_site_type_symbol
_atom_site_fract_x
_atom_site_fract_y
_atom_site_fract_z
Mg1 Mg 0.000 0.000 0.000
Cd1 Cd 0.500 0.500 0.517
Sb1 Sb 0.000 0.000 0.501
Sb2 Sb 0.500 0.500 0.015

Entry z
# PBE-GGA MgCdSb2, relaxed
# spin magnetization = 0.00 μB/cell
data_MgCdSb2
_cell_length_a 3.4056
_cell_length_b 3.4056
_cell_length_c 30.6445
_cell_angle_alpha 90.00
_cell_angle_beta 90.00
_cell_angle_gamma 120.00
_symmetry_space_group_name_H-M 'R 3 m'
_symmetry_Int_Tables_number 160
_symmetry_space_group_name_Hall 'R 3 -2"'
loop_
_atom_site_label
_atom_site_type_symbol
_atom_site_fract_x
_atom_site_fract_y
_atom_site_fract_z
Mg1 Mg 0.0000 0.0000 0.0000
Cd1 Cd 0.0000 0.0000 0.7436
Sb1 Sb 0.0000 0.0000 0.2580
Sb2 Sb 0.0000 0.0000 0.4905

Q: Which of them is the least stable? A: entry z.

Entry w
# PBE-GGA MgCdSb2, relaxed
# spin magnetization = 0.00 μB/cell
data_MgCdSb2
_cell_length_a 4.379
_cell_length_b 5.210
_cell_length_c 8.912
_cell_angle_alpha 90.00
_cell_angle_beta 90.00
_cell_angle_gamma 90.00
_symmetry_space_group_name_H-M 'I m m m'
_symmetry_Int_Tables_number 71
_symmetry_space_group_name_Hall '-I 2 2'
loop_
_atom_site_label
_atom_site_type_symbol
_atom_site_fract_x
_atom_site_fract_y
_atom_site_fract_z
Mg1 Mg 0.000 0.000 0.000
Cd1 Cd 0.000 0.000 0.500
Sb1 Sb 0.000 0.500 0.252

Entry x
# PBE-GGA MgCdSb2, relaxed
# spin magnetization = 0.00 μB/cell
data_MgCdSb2
_cell_length_a 4.6099
_cell_length_b 4.6099
_cell_length_c 18.0066
_cell_angle_alpha 90.00
_cell_angle_beta 90.00
_cell_angle_gamma 120.00
_symmetry_space_group_name_H-M 'R 3 m'
_symmetry_Int_Tables_number 160
_symmetry_space_group_name_Hall 'R 3 -2"'
loop_
_atom_site_label
_atom_site_type_symbol
_atom_site_fract_x
_atom_site_fract_y
_atom_site_fract_z
Mg1 Mg 0.0000 0.0000 0.0000
Cd1 Cd 0.0000 0.0000 0.1703
Sb1 Sb 0.0000 0.0000 0.4170
Sb2 Sb 0.0000 0.0000 0.5932

Entry y
# PBE-GGA MgCdSb2, relaxed
# spin magnetization = 0.00 μB/cell
data_MgCdSb2
_cell_length_a 4.021
_cell_length_b 4.468
_cell_length_c 11.680
_cell_angle_alpha 90.00
_cell_angle_beta 90.00
_cell_angle_gamma 90.00
_symmetry_space_group_name_H-M 'I m m 2'
_symmetry_Int_Tables_number 44
loop_
_symmetry_equiv_pos_as_xyz
'x,y,z'
'-x,-y,z'
'-x,y,z'
'x,-y,z'
'x+1/2,y+1/2,z+1/2'
'-x+1/2,-y+1/2,z+1/2'
'-x+1/2,y+1/2,z+1/2'
'x+1/2,-y+1/2,z+1/2'
loop_
_atom_site_label
_atom_site_type_symbol
_atom_site_fract_x
_atom_site_fract_y
_atom_site_fract_z
Mg1 Mg 0.000 0.000 0.000
Cd1 Cd 0.000 0.500 0.219
Sb1 Sb 0.000 0.000 0.512
Sb2 Sb 0.000 0.500 0.803

Entry z
# PBE-GGA MgCdSb2, relaxed
# spin magnetization = 0.00 μB/cell
data_MgCdSb2
_cell_length_a 4.092
_cell_length_b 4.092
_cell_length_c 6.121
_cell_angle_alpha 90.00
_cell_angle_beta 90.00
_cell_angle_gamma 90.00
_symmetry_space_group_name_H-M 'P 4/m m m'
_symmetry_Int_Tables_number 123
_symmetry_space_group_name_Hall '-P 4 2'
loop_
_atom_site_label
_atom_site_type_symbol
_atom_site_fract_x
_atom_site_fract_y
_atom_site_fract_z
Mg1 Mg 0.000 0.000 0.000
Cd1 Cd 0.000 0.000 0.500
Sb1 Sb 0.500 0.500 0.241

Q: Which of them is the least stable? A: entry w.

Entry w
# PBE-GGA MgCdSb2, relaxed
# spin magnetization = 0.00 μB/cell
data_MgCdSb2
_cell_length_a 11.480
_cell_length_b 3.257
_cell_length_c 5.488
_cell_angle_alpha 90.00
_cell_angle_beta 90.01
_cell_angle_gamma 90.00
_symmetry_space_group_name_H-M 'C 1 m 1'
_symmetry_Int_Tables_number 8
loop_
_symmetry_equiv_pos_as_xyz
'x,y,z'
'x,-y,z'
'x+1/2,y+1/2,z'
'x+1/2,-y+1/2,z'
loop_
_atom_site_label
_atom_site_type_symbol
_atom_site_fract_x
_atom_site_fract_y
_atom_site_fract_z
Mg1 Mg 0.000 0.000 0.000
Cd1 Cd 0.231 0.000 0.501
Sb1 Sb 0.235 0.500 0.001
Sb2 Sb 0.490 0.000 0.501

Entry x
# PBE-GGA MgCdSb2, relaxed
# spin magnetization = 0.00 μB/cell
data_MgCdSb2
_cell_length_a 3.324
_cell_length_b 5.936
_cell_length_c 5.249
_cell_angle_alpha 90.00
_cell_angle_beta 90.00
_cell_angle_gamma 90.00
_symmetry_space_group_name_H-M 'P 1 m 1'
_symmetry_Int_Tables_number 6
loop_
_symmetry_equiv_pos_as_xyz
'x,y,z'
'x,-y,z'
loop_
_atom_site_label
_atom_site_type_symbol
_atom_site_fract_x
_atom_site_fract_y
_atom_site_fract_z
Mg1 Mg 0.000 0.000 0.000
Cd1 Cd 0.498 0.500 0.497
Sb1 Sb 0.499 0.000 0.500
Sb2 Sb 0.997 0.500 0.997

Entry y
# PBE-GGA MgCdSb2, relaxed
# spin magnetization = 0.00 μB/cell
data_MgCdSb2
_cell_length_a 10.374
_cell_length_b 3.550
_cell_length_c 5.724
_cell_angle_alpha 90.00
_cell_angle_beta 104.24
_cell_angle_gamma 90.00
_symmetry_space_group_name_H-M 'C 1 2/m 1'
_symmetry_Int_Tables_number 12
loop_
_symmetry_equiv_pos_as_xyz
'x,y,z'
'-x,-y,-z'
'-x,y,-z'
'x,-y,z'
'x+1/2,y+1/2,z'
'-x+1/2,-y+1/2,-z'
'-x+1/2,y+1/2,-z'
'x+1/2,-y+1/2,z'
loop_
_atom_site_label
_atom_site_type_symbol
_atom_site_fract_x
_atom_site_fract_y
_atom_site_fract_z
Mg1 Mg 0.000 0.000 0.000
Cd1 Cd 0.000 0.500 0.500
Sb1 Sb 0.243 0.500 0.239

Entry z
# PBE-GGA MgCdSb2, relaxed
# spin magnetization = 0.00 μB/cell
data_MgCdSb2
_cell_length_a 3.168
_cell_length_b 3.168
_cell_length_c 10.256
_cell_angle_alpha 90.00
_cell_angle_beta 90.00
_cell_angle_gamma 90.00
_symmetry_space_group_name_H-M 'P 4 m m'
_symmetry_Int_Tables_number 99
loop_
_symmetry_equiv_pos_as_xyz
'x,y,z'
'-y,x,z'
'-x,-y,z'
'y,-x,z'
'-x,y,z'
'y,x,z'
'x,-y,z'
'-y,-x,z'
loop_
_atom_site_label
_atom_site_type_symbol
_atom_site_fract_x
_atom_site_fract_y
_atom_site_fract_z
Mg1 Mg 0.000 0.000 0.000
Cd1 Cd 0.500 0.500 0.785
Sb1 Sb 0.000 0.000 0.545
Sb2 Sb 0.500 0.500 0.216

Q: Which of them is the least stable? A: entry z.